# YTm6Th12

An optimized crystal structure of YTm6Th12 (PBE, Alexandria via LeMat-Bulk).

Computed properties:
As for the formation enthalpy at 0 K: 242 meV/atom.

Unit cell a=8.696 b=8.696 c=8.696 alpha=99.53 beta=99.53 gamma=99.53
Element x y z (fractional)
1 Y 0.000 0.000 0.000
2 Tm 0.901 0.339 0.901
3 Tm 0.901 0.901 0.339
4 Tm 0.339 0.901 0.901
5 Tm 0.099 0.099 0.661
6 Tm 0.099 0.661 0.099
7 Tm 0.661 0.099 0.099
8 Th 0.754 0.246 0.500
9 Th 0.349 0.083 0.349
10 Th 0.349 0.349 0.083
11 Th 0.917 0.651 0.651
12 Th 0.651 0.651 0.917
13 Th 0.651 0.917 0.651
14 Th 0.500 0.754 0.246
15 Th 0.246 0.500 0.754
16 Th 0.246 0.754 0.500
17 Th 0.500 0.246 0.754
18 Th 0.754 0.500 0.246
19 Th 0.083 0.349 0.349

---

# Y4Tm5Th2

An optimized crystal structure of Y4Tm5Th2 (PBE, Alexandria via LeMat-Bulk).

Computed properties:
The polymorph energy (0 for the lowest one) comes out at 0.000 eV per atom. As for the formation enthalpy at 0 K: 55 meV/atom.

Unit cell a=3.513 b=8.712 c=14.411 alpha=89.35 beta=128.23 gamma=91.30
Element x y z (fractional)
1 Y 0.077 0.200 0.532
2 Y 0.217 0.733 0.172
3 Y 0.923 0.800 0.468
4 Y 0.783 0.267 0.828
5 Tm 0.863 0.528 0.651
6 Tm 0.137 0.472 0.349
7 Tm 0.078 0.922 0.723
8 Tm 0.500 0.000 0.000
9 Tm 0.922 0.078 0.277
10 Th 0.017 0.639 0.908
11 Th 0.983 0.361 0.092

---

# YTm7Th3

An optimized crystal structure of YTm7Th3 (PBE, Alexandria via LeMat-Bulk).

Computed properties:
The polymorph energy (0 for the lowest one) comes out at 0.053 eV per atom. As for the formation enthalpy at 0 K: 210 meV/atom.

Unit cell a=8.451 b=7.015 c=7.015 alpha=120.00 beta=90.00 gamma=90.00
Element x y z (fractional)
1 Y 0.453 0.333 0.667
2 Tm 0.115 0.167 0.833
3 Tm 0.115 0.167 0.335
4 Tm 0.114 0.667 0.333
5 Tm 0.450 0.832 0.168
6 Tm 0.450 0.336 0.168
7 Tm 0.450 0.832 0.664
8 Tm 0.115 0.665 0.833
9 Th 0.784 0.501 0.499
10 Th 0.784 0.501 0.001
11 Th 0.784 0.999 0.499

---

# YTm6Th2

An optimized crystal structure of YTm6Th2 (PBE, Alexandria via LeMat-Bulk).

Computed properties:
The polymorph energy (0 for the lowest one) comes out at 0.000 eV per atom. As for the formation enthalpy at 0 K: 73 meV/atom.

Unit cell a=3.541 b=3.541 c=25.978 alpha=90.00 beta=90.00 gamma=120.00
Element x y z (fractional)
1 Y 0.333 0.667 0.000
2 Tm 0.667 0.333 0.891
3 Tm 0.333 0.667 0.437
4 Tm 0.333 0.667 0.784
5 Tm 0.333 0.667 0.216
6 Tm 0.333 0.667 0.563
7 Tm 0.667 0.333 0.109
8 Th 0.667 0.333 0.328
9 Th 0.667 0.333 0.672

---

# Y5Tm5Th2

An optimized crystal structure of Y5Tm5Th2 (PBE, Alexandria via LeMat-Bulk).

Computed properties:
As for the formation enthalpy at 0 K: 122 meV/atom.

Unit cell a=5.822 b=8.541 c=9.208 alpha=102.49 beta=71.57 gamma=70.07
Element x y z (fractional)
1 Y 0.000 0.500 0.500
2 Y 0.667 0.754 0.913
3 Y 0.333 0.992 0.342
4 Y 0.667 0.008 0.658
5 Y 0.333 0.246 0.087
6 Tm 0.668 0.253 0.411
7 Tm 0.998 0.252 0.753
8 Tm 0.002 0.748 0.247
9 Tm 0.332 0.747 0.589
10 Tm 0.000 0.000 0.000
11 Th 0.333 0.496 0.838
12 Th 0.667 0.504 0.162

---

# Y3Tm5Th2

An optimized crystal structure of Y3Tm5Th2 (PBE, Alexandria via LeMat-Bulk).

Computed properties:
As for the formation enthalpy at 0 K: 228 meV/atom.

Unit cell a=9.440 b=9.446 c=11.065 alpha=125.99 beta=125.98 gamma=67.85
Element x y z (fractional)
1 Y 0.231 0.981 0.961
2 Y 0.769 0.019 0.039
3 Y 0.729 0.472 0.250
4 Y 0.271 0.528 0.750
5 Y 0.021 0.779 0.250
6 Y 0.979 0.221 0.750
7 Tm 0.276 0.526 0.052
8 Tm 0.724 0.474 0.948
9 Tm 0.023 0.773 0.546
10 Tm 0.525 0.275 0.549
11 Tm 0.977 0.227 0.454
12 Tm 0.475 0.725 0.451
13 Tm 0.864 0.611 0.745
14 Tm 0.136 0.389 0.255
15 Tm 0.381 0.134 0.745
16 Tm 0.619 0.866 0.255
17 Th 0.773 0.016 0.743
18 Th 0.227 0.984 0.257
19 Th 0.470 0.727 0.743
20 Th 0.530 0.273 0.257